No. 1
# NaOsNO | OQMD via LeMat-Bulk | PBE-GGA | relaxed
# Size of the total moment (μB/atom): 0.001
# Calculated density (g/cm³): 9.61
# Calculated volume (Å³ per atom): 10.51
# Relative energy among the computed polymorphs (meV/atom): 1156
data_NaOsNO
_cell_length_a 3.268
_cell_length_b 3.268
_cell_length_c 7.872
_cell_angle_alpha 90.00
_cell_angle_beta 90.00
_cell_angle_gamma 90.00
_symmetry_space_group_name_H-M 'P 1'
_symmetry_Int_Tables_number 1
_symmetry_space_group_name_Hall 'P 1'
loop_
_atom_site_label
_atom_site_type_symbol
_atom_site_fract_x
_atom_site_fract_y
_atom_site_fract_z
_atom_site_occupancy
N1 N 0.000 0.500 0.281 1
N2 N 0.500 0.000 0.719 1
Na1 Na 0.000 0.000 0.500 1
Na2 Na 0.500 0.500 0.500 1
O1 O 0.000 0.000 0.000 1
O2 O 0.500 0.500 0.000 1
Os1 Os 0.500 0.000 0.165 1
Os2 Os 0.000 0.500 0.835 1

=====

No. 2
# NaOsNO | OQMD via LeMat-Bulk | PBE-GGA | relaxed
# Size of the total moment (μB/atom): 0.001
# Calculated density (g/cm³): 6.86
# Calculated volume (Å³ per atom): 14.72
# Relative energy among the computed polymorphs (meV/atom): 0
data_NaOsNO
_cell_length_a 3.644
_cell_length_b 5.799
_cell_length_c 5.572
_cell_angle_alpha 90.00
_cell_angle_beta 90.00
_cell_angle_gamma 90.00
_symmetry_space_group_name_H-M 'P 1'
_symmetry_Int_Tables_number 1
_symmetry_space_group_name_Hall 'P 1'
loop_
_atom_site_label
_atom_site_type_symbol
_atom_site_fract_x
_atom_site_fract_y
_atom_site_fract_z
_atom_site_occupancy
N1 N 0.000 0.813 0.365 1
N2 N 0.000 0.313 0.635 1
Na1 Na 0.500 0.019 0.163 1
Na2 Na 0.500 0.519 0.837 1
O1 O 0.500 0.424 0.242 1
O2 O 0.500 0.924 0.758 1
Os1 Os 0.000 0.498 0.360 1
Os2 Os 0.000 0.998 0.640 1

=====

No. 3
# NaOsNO | OQMD via LeMat-Bulk | PBE-GGA | relaxed
# Size of the total moment (μB/atom): 0.000
# Calculated density (g/cm³): 7.69
# Calculated volume (Å³ per atom): 13.13
# Relative energy among the computed polymorphs (meV/atom): 23
data_NaOsNO
_cell_length_a 3.324
_cell_length_b 5.507
_cell_length_c 5.740
_cell_angle_alpha 90.00
_cell_angle_beta 90.00
_cell_angle_gamma 90.00
_symmetry_space_group_name_H-M 'P 1'
_symmetry_Int_Tables_number 1
_symmetry_space_group_name_Hall 'P 1'
loop_
_atom_site_label
_atom_site_type_symbol
_atom_site_fract_x
_atom_site_fract_y
_atom_site_fract_z
_atom_site_occupancy
N1 N 0.000 0.899 0.199 1
N2 N 0.000 0.399 0.801 1
Na1 Na 0.000 0.539 0.409 1
Na2 Na 0.000 0.039 0.591 1
O1 O 0.500 0.321 0.232 1
O2 O 0.500 0.821 0.768 1
Os1 Os 0.500 0.995 0.077 1
Os2 Os 0.500 0.495 0.923 1